TbTiBe2Pt5: optimized geometry, PBE.

Structure (POSCAR):
```
TbTiBe2Pt5
1.0
4.401 0.000 0.000
0.000 4.401 0.000
0.000 0.000 7.281
Pt Be Ti Tb
5 2 1 1
direct
0.500 0.000 0.216 Pt
0.500 0.500 0.500 Pt
0.500 0.000 0.784 Pt
0.000 0.500 0.216 Pt
0.000 0.500 0.784 Pt
0.500 0.500 0.161 Be
0.500 0.500 0.839 Be
0.000 0.000 0.000 Ti
0.000 0.000 0.500 Tb
```

energy of formation from the pure elements	-0.739	eV/atom
N(E_F)	5.80	states/eV per cell